Material: TcAsN3
Method: DFT, PBE
State: relaxed

The structure belongs to space group Pm-3m (No. 221); the cell edges are 3.711, 3.711 and 3.711 Å and the angles 90.00°, 90.00° and 90.00°. Symmetry generates all atoms from Tc at (0.000, 0.000, 0.000), As at (0.500, 0.500, 0.500) and N at (0.000, 0.500, 0.500).

Its formation energy from raw total energies is 1.632 eV/atom. The calculated total energy is -31.83 eV per cell.